[1]
Zr2ScCl | PBE | optimized geometry

Cell: 5.655 5.655 5.655 Å, 135.46 135.46 64.82°
Element x y z (fractional)
1 Sc 0.750 0.250 0.500
2 Zr 0.000 0.000 0.000
3 Zr 0.250 0.750 0.500
4 Cl 0.500 0.500 0.000

Computed properties:
The polymorph energy (0 for the lowest one) comes out at 14.57 kcal/mol of atoms. The calculated total energy comes out at -0.2265 Ha/atom. The density of states at the Fermi level comes out at 1.134 states/eV/atom. The formation energy without anion corrections is 0.16 eV per atom.


[2]
Zr2ScCl | PBE | optimized geometry

Cell: 3.185 5.227 5.370 Å, 90.00 90.00 90.00°
Element x y z (fractional)
1 Zr 0.000 0.000 0.000
2 Zr 0.500 0.500 0.000
3 Sc 0.000 0.500 0.500
4 Cl 0.500 0.000 0.500

Computed properties:
The polymorph energy (0 for the lowest one) comes out at 9.45 kcal/mol of atoms. The calculated total energy comes out at -0.2346 Ha/atom. The density of states at the Fermi level comes out at 1.251 states/eV/atom. The formation energy without anion corrections is -0.07 eV per atom.


Copy entry 2 word for word.
Zr2ScCl | PBE | optimized geometry

Cell: 3.185 5.227 5.370 Å, 90.00 90.00 90.00°
Element x y z (fractional)
1 Zr 0.000 0.000 0.000
2 Zr 0.500 0.500 0.000
3 Sc 0.000 0.500 0.500
4 Cl 0.500 0.000 0.500

Computed properties:
The polymorph energy (0 for the lowest one) comes out at 9.45 kcal/mol of atoms. The calculated total energy comes out at -0.2346 Ha/atom. The density of states at the Fermi level comes out at 1.251 states/eV/atom. The formation energy without anion corrections is -0.07 eV per atom.


Please write out number 1 again, unchanged.
Zr2ScCl | PBE | optimized geometry

Cell: 5.655 5.655 5.655 Å, 135.46 135.46 64.82°
Element x y z (fractional)
1 Sc 0.750 0.250 0.500
2 Zr 0.000 0.000 0.000
3 Zr 0.250 0.750 0.500
4 Cl 0.500 0.500 0.000

Computed properties:
The polymorph energy (0 for the lowest one) comes out at 14.57 kcal/mol of atoms. The calculated total energy comes out at -0.2265 Ha/atom. The density of states at the Fermi level comes out at 1.134 states/eV/atom. The formation energy without anion corrections is 0.16 eV per atom.


- What is the polymorph energy (0 for the lowest one) in the first record?
  14.57 kcal/mol of atoms


What did the second record say?
Zr2ScCl | PBE | optimized geometry

Cell: 3.185 5.227 5.370 Å, 90.00 90.00 90.00°
Element x y z (fractional)
1 Zr 0.000 0.000 0.000
2 Zr 0.500 0.500 0.000
3 Sc 0.000 0.500 0.500
4 Cl 0.500 0.000 0.500

Computed properties:
The polymorph energy (0 for the lowest one) comes out at 9.45 kcal/mol of atoms. The calculated total energy comes out at -0.2346 Ha/atom. The density of states at the Fermi level comes out at 1.251 states/eV/atom. The formation energy without anion corrections is -0.07 eV per atom.